Entry 1:
Crystalline Nd8AgIr3Br4 at its relaxed geometry. Source: Alexandria, functional PBE. Values from VASP.

Values from the calculation:
- raw formation energy (eV/f.u.) = -15.86

The structure in Quantum ESPRESSO input format:
```
&SYSTEM
  ibrav = 0, nat = 16, ntyp = 4
/
ATOMIC_SPECIES
Nd 144.24 Nd.upf
Ag 107.87 Ag.upf
Ir 192.22 Ir.upf
Br 79.90 Br.upf
CELL_PARAMETERS angstrom
4.2108 2.4311 7.7911
-4.2108 2.4311 7.7911
0.0000 -4.8623 7.7911
ATOMIC_POSITIONS crystal
Nd 0.2153 0.7417 0.7417
Nd 0.2320 0.2320 0.2320
Nd 0.2583 0.2583 0.7847
Nd 0.2583 0.7847 0.2583
Nd 0.7417 0.2153 0.7417
Nd 0.7417 0.7417 0.2153
Nd 0.7680 0.7680 0.7680
Nd 0.7847 0.2583 0.2583
Ag 0.5000 0.5000 0.5000
Ir 0.0000 0.0000 0.5000
Ir 0.0000 0.5000 0.0000
Ir 0.5000 0.0000 0.0000
Br 0.0000 0.0000 0.0000
Br 0.0000 0.5000 0.5000
Br 0.5000 0.0000 0.5000
Br 0.5000 0.5000 0.0000
```

Entry 2:
Crystalline NiAgIrBr2 at its relaxed geometry. Source: Alexandria, functional PBE. Values from VASP.

Values from the calculation:
- raw formation energy (eV/f.u.) = 3.67

The structure in Quantum ESPRESSO input format:
```
&SYSTEM
  ibrav = 0, nat = 5, ntyp = 4
/
ATOMIC_SPECIES
Ni 58.69 Ni.upf
Ag 107.87 Ag.upf
Ir 192.22 Ir.upf
Br 79.90 Br.upf
CELL_PARAMETERS angstrom
5.1199 0.0000 0.0000
0.0000 5.1199 0.0000
0.0000 0.0000 4.5762
ATOMIC_POSITIONS crystal
Ni 0.0000 0.0000 0.0000
Ag 0.5000 0.5000 0.0000
Ir 0.0000 0.0000 0.5000
Br 0.0000 0.5000 0.5000
Br 0.5000 0.0000 0.5000
```

Entry 3:
Crystalline AgIrPbBr6 at its relaxed geometry. Source: Alexandria, functional PBE. Values from VASP.

Values from the calculation:
- raw formation energy (eV/f.u.) = -3.78

The structure in Quantum ESPRESSO input format:
```
&SYSTEM
  ibrav = 0, nat = 18, ntyp = 4
/
ATOMIC_SPECIES
Ag 107.87 Ag.upf
Ir 192.22 Ir.upf
Pb 207.20 Pb.upf
Br 79.90 Br.upf
CELL_PARAMETERS angstrom
7.1823 0.0000 0.0000
-3.5911 6.2200 0.0000
0.0000 0.0000 12.0884
ATOMIC_POSITIONS crystal
Ag 0.0000 0.0000 0.0000
Ag 0.0000 0.0000 0.5000
Ir 0.3333 0.6667 0.2500
Ir 0.6667 0.3333 0.7500
Pb 0.3333 0.6667 0.7500
Pb 0.6667 0.3333 0.2500
Br 0.0540 0.3793 0.1254
Br 0.0540 0.6747 0.3746
Br 0.3253 0.3793 0.3746
Br 0.3253 0.9460 0.1254
Br 0.3793 0.0540 0.6254
Br 0.3793 0.3253 0.8746
Br 0.6207 0.6747 0.1254
Br 0.6207 0.9460 0.3746
Br 0.6747 0.0540 0.8746
Br 0.6747 0.6207 0.6254
Br 0.9460 0.3253 0.6254
Br 0.9460 0.6207 0.8746
```

Entry 4:
Crystalline Pr8AgIr3Br4 at its relaxed geometry. Source: Alexandria, functional PBE. Values from VASP.

Values from the calculation:
- raw formation energy (eV/f.u.) = -15.76

The structure in Quantum ESPRESSO input format:
```
&SYSTEM
  ibrav = 0, nat = 16, ntyp = 4
/
ATOMIC_SPECIES
Pr 140.91 Pr.upf
Ag 107.87 Ag.upf
Ir 192.22 Ir.upf
Br 79.90 Br.upf
CELL_PARAMETERS angstrom
7.3457 -4.2419 0.0000
7.3457 4.2419 0.0000
-4.9028 0.0000 7.8401
ATOMIC_POSITIONS crystal
Pr 0.2156 0.7419 0.6991
Pr 0.2322 0.2322 0.6963
Pr 0.2581 0.2581 0.3009
Pr 0.2581 0.7844 0.3009
Pr 0.7419 0.2156 0.6991
Pr 0.7419 0.7419 0.6991
Pr 0.7678 0.7678 0.3037
Pr 0.7844 0.2581 0.3009
Ag 0.5000 0.5000 0.5000
Ir 0.0000 0.0000 0.5000
Ir 0.0000 0.5000 0.5000
Ir 0.5000 0.0000 0.5000
Br 0.0000 0.0000 0.0000
Br 0.0000 0.5000 0.0000
Br 0.5000 0.0000 0.0000
Br 0.5000 0.5000 0.0000
```

Entry 5:
Crystalline Pr6AgIr2Br3 at its relaxed geometry. Source: Alexandria, functional PBE. Values from VASP.

Values from the calculation:
- raw formation energy (eV/f.u.) = -11.54

The structure in Quantum ESPRESSO input format:
```
&SYSTEM
  ibrav = 0, nat = 12, ntyp = 4
/
ATOMIC_SPECIES
Pr 140.91 Pr.upf
Ag 107.87 Ag.upf
Ir 192.22 Ir.upf
Br 79.90 Br.upf
CELL_PARAMETERS angstrom
3.6902 -6.3983 0.0000
3.6902 6.3983 0.0000
-2.4525 0.0000 7.8467
ATOMIC_POSITIONS crystal
Pr 0.0761 0.4329 0.7994
Pr 0.2092 0.2092 0.2000
Pr 0.4329 0.0761 0.7994
Pr 0.5671 0.9239 0.2006
Pr 0.7908 0.7908 0.8000
Pr 0.9239 0.5671 0.2006
Ag 0.5000 0.5000 0.0000
Ir 0.1668 0.8332 0.0000
Ir 0.8332 0.1668 0.0000
Br 0.0000 0.0000 0.5000
Br 0.3322 0.6678 0.5000
Br 0.6678 0.3322 0.5000
```

Entry 6:
Crystalline RbAg2IrBr8 at its relaxed geometry. Source: Alexandria, functional PBE. Values from VASP.

Values from the calculation:
- raw formation energy (eV/f.u.) = -5.88

The structure in Quantum ESPRESSO input format:
```
&SYSTEM
  ibrav = 0, nat = 12, ntyp = 4
/
ATOMIC_SPECIES
Rb 85.47 Rb.upf
Ag 107.87 Ag.upf
Ir 192.22 Ir.upf
Br 79.90 Br.upf
CELL_PARAMETERS angstrom
6.6192 0.0000 0.0000
0.3992 6.9527 0.0000
1.0923 2.5724 8.7254
ATOMIC_POSITIONS crystal
Rb 0.0000 0.0000 0.0000
Ag 0.4379 0.5003 0.2110
Ag 0.5621 0.4997 0.7890
Ir 0.0000 0.5000 0.5000
Br 0.1230 0.5040 0.7494
Br 0.2433 0.7649 0.3527
Br 0.2653 0.2447 0.4683
Br 0.4954 0.2205 0.0589
Br 0.5046 0.7795 0.9411
Br 0.7347 0.7553 0.5317
Br 0.7567 0.2351 0.6473
Br 0.8770 0.4960 0.2506
```

Entry 7:
Crystalline RbAgIrBr6 at its relaxed geometry. Source: Alexandria, functional PBE. Values from VASP.

Values from the calculation:
- raw formation energy (eV/f.u.) = -5.10

The structure in Quantum ESPRESSO input format:
```
&SYSTEM
  ibrav = 0, nat = 9, ntyp = 4
/
ATOMIC_SPECIES
Rb 85.47 Rb.upf
Ag 107.87 Ag.upf
Ir 192.22 Ir.upf
Br 79.90 Br.upf
CELL_PARAMETERS angstrom
7.0686 0.0000 0.0000
-3.5343 6.1216 0.0000
0.0000 0.0000 7.5160
ATOMIC_POSITIONS crystal
Rb 0.0000 0.0000 0.0000
Ag 0.3333 0.6667 0.5000
Ir 0.6667 0.3333 0.5000
Br 0.3845 0.0366 0.6908
Br 0.3845 0.3479 0.3092
Br 0.6521 0.0366 0.3092
Br 0.6521 0.6155 0.6908
Br 0.9634 0.3479 0.6908
Br 0.9634 0.6155 0.3092
```

Entry 8:
Crystalline ReAgIrBr2 at its relaxed geometry. Source: Alexandria, functional PBE. Values from VASP.

Values from the calculation:
- raw formation energy (eV/f.u.) = 6.50

The structure in Quantum ESPRESSO input format:
```
&SYSTEM
  ibrav = 0, nat = 5, ntyp = 4
/
ATOMIC_SPECIES
Re 186.21 Re.upf
Ag 107.87 Ag.upf
Ir 192.22 Ir.upf
Br 79.90 Br.upf
CELL_PARAMETERS angstrom
5.1706 0.0000 0.0000
0.0000 5.1706 0.0000
0.0000 0.0000 4.8501
ATOMIC_POSITIONS crystal
Re 0.0000 0.0000 0.0000
Ag 0.5000 0.5000 0.0000
Ir 0.0000 0.0000 0.5000
Br 0.0000 0.5000 0.5000
Br 0.5000 0.0000 0.5000
```